[1]
DFT (PBEsol) results for a relaxed DyMg crystal.

Cell and atoms, written as POSCAR:
```
DyMg
1.0
3.735 0.000 0.000
0.000 3.735 0.000
0.000 0.000 3.735
Dy Mg
1 1
direct
0.500 0.500 0.500
0.000 0.000 0.000
```

## Properties
V (Å³ per cell): 52
ΔH_f (0 K) (meV/atom): -66.1

[2]
DFT (PBEsol) results for a relaxed AlCu crystal.

Cell and atoms, written as POSCAR:
```
AlCu
1.0
4.026 0.000 0.000
0.000 5.003 0.000
0.000 0.000 5.288
Al Cu
4 4
direct
0.250 0.135 0.846
0.750 0.635 0.654
0.750 0.865 0.154
0.250 0.365 0.346
0.250 0.851 0.462
0.750 0.149 0.538
0.250 0.649 0.962
0.750 0.351 0.038
```

## Properties
V (Å³ per cell): 107
ΔH_f (0 K) (meV/atom): -208.3

[3]
DFT (PBEsol) results for a relaxed FeMoPt3 crystal.

Cell and atoms, written as POSCAR:
```
FeMoPt3
1.0
-1.235 -4.019 1.531
4.061 -1.614 -0.961
1.416 1.124 4.093
Pt Mo Fe
3 1 1
direct
0.000 0.500 0.000
0.000 0.000 0.500
0.500 0.000 0.000
0.500 0.500 0.500
0.000 0.000 0.000
```

## Properties
V (Å³ per cell): 90
ΔH_f (0 K) (meV/atom): 1282.0

[4]
DFT (PBEsol) results for a relaxed ZnFeAs2Se crystal.

Cell and atoms, written as POSCAR:
```
ZnFeAs2Se
1.0
-1.794 2.855 -3.244
-4.221 -1.910 0.653
-0.960 3.296 3.432
As Zn Fe Se
2 1 1 1
direct
0.500 0.000 0.000
0.000 0.500 0.000
0.000 0.000 0.000
0.500 0.500 0.500
0.000 0.000 0.500
```

## Properties
Formation energy without anion corrections (eV per atom): 1.0739
V (Å³ per cell): 106

[5]
DFT (PBEsol) results for a relaxed BaHgMo2 crystal.

Cell and atoms, written as POSCAR:
```
BaHgMo2
1.0
3.077 0.010 0.000
-1.279 2.799 0.000
0.000 0.000 10.017
Hg Ba Mo
1 1 2
direct
0.500 0.500 0.214
0.000 0.000 0.512
0.500 0.500 0.799
0.000 0.000 0.976
```

## Properties
V (Å³ per cell): 86
ΔH_f (0 K) (meV/atom): 618.3

[6]
DFT (PBEsol) results for a relaxed Li2ZnSe crystal.

Cell and atoms, written as POSCAR:
```
Li2ZnSe
1.0
3.811 0.000 0.000
0.000 3.811 0.000
-1.906 -1.906 4.414
Li Se Zn
2 1 1
direct
0.000 0.000 0.000
0.750 0.250 0.500
0.500 0.500 0.000
0.250 0.750 0.500
```

## Properties
Formation energy without anion corrections (eV per atom): -0.5081
V (Å³ per cell): 64
Energy above the most stable polymorph in this dataset (eV/atom): 0.0874

[7]
DFT (PBEsol) results for a relaxed MnTe2W crystal.

Cell and atoms, written as POSCAR:
```
MnTe2W
1.0
3.177 0.011 0.000
-1.400 2.852 0.000
0.000 0.000 8.695
W Te Mn
1 2 1
direct
0.500 0.500 0.500
0.000 0.000 0.751
0.000 0.000 0.249
0.500 0.500 0.000
```

## Properties
Formation energy without anion corrections (eV per atom): 0.8887
V (Å³ per cell): 79
Energy above the most stable polymorph in this dataset (eV/atom): 0.6477

[8]
DFT (PBEsol) results for a relaxed TcPt8 crystal.

Cell and atoms, written as POSCAR:
```
TcPt8
1.0
3.886 0.000 0.000
1.943 5.862 0.000
1.943 0.000 5.862
Pt Tc
8 1
direct
0.662 0.675 0.000
0.338 0.325 0.000
0.671 0.329 0.329
0.000 0.671 0.329
0.000 0.329 0.671
0.662 0.000 0.675
0.329 0.671 0.671
0.338 0.000 0.325
0.000 0.000 0.000
```

## Properties
V (Å³ per cell): 134
ΔH_f (0 K) (meV/atom): -60.3

[9]
DFT (PBEsol) results for a relaxed RbLi2Sb2 crystal.

Cell and atoms, written as POSCAR:
```
RbLi2Sb2
1.0
-0.369 3.115 0.183
-6.642 -1.126 5.781
5.797 0.293 6.717
Sb Li Rb
4 4 2
direct
0.500 0.844 0.344
0.500 0.344 0.156
0.500 0.656 0.844
0.500 0.156 0.656
0.000 0.873 0.627
0.000 0.627 0.127
0.000 0.373 0.873
0.000 0.127 0.373
0.000 0.000 0.000
0.000 0.500 0.500
```

## Properties
Formation energy without anion corrections (eV per atom): -0.4499
V (Å³ per cell): 248
Energy above the most stable polymorph in this dataset (eV/atom): 0.0075

[10]
DFT (PBEsol) results for a relaxed BaCu2P2 crystal.

Cell and atoms, written as POSCAR:
```
BaCu2P2
1.0
4.050 0.000 0.000
0.000 8.769 0.000
0.000 0.000 10.355
Ba Cu P
4 8 8
direct
0.250 0.743 0.668
0.750 0.757 0.168
0.250 0.243 0.832
0.750 0.257 0.332
0.750 0.408 0.045
0.250 0.043 0.130
0.750 0.908 0.455
0.750 0.457 0.630
0.250 0.543 0.370
0.250 0.592 0.955
0.250 0.092 0.545
0.750 0.957 0.870
0.250 0.964 0.347
0.750 0.036 0.653
0.250 0.464 0.153
0.250 0.370 0.549
0.750 0.536 0.847
0.750 0.130 0.049
0.250 0.870 0.951
0.750 0.630 0.451
```

## Properties
V (Å³ per cell): 368
ΔH_f (0 K) (meV/atom): -520.9

[11]
DFT (PBEsol) results for a relaxed MoRuPt crystal.

Cell and atoms, written as POSCAR:
```
MoRuPt
1.0
4.156 0.000 0.000
2.078 3.599 0.000
2.078 1.200 3.393
Pt Ru Mo
1 1 1
direct
0.000 0.000 0.000
0.500 0.500 0.500
0.250 0.250 0.250
```

## Properties
V (Å³ per cell): 51
Energy above the most stable polymorph in this dataset (eV/atom): 0.4856
ΔH_f (0 K) (meV/atom): 345.6

[12]
DFT (PBEsol) results for a relaxed MgB2C2 crystal.

Cell and atoms, written as POSCAR:
```
MgB2C2
1.0
2.768 0.000 0.000
0.000 4.621 0.000
0.000 0.000 7.172
C B Mg
4 4 2
direct
0.000 0.284 0.279
0.500 0.784 0.221
0.000 0.716 0.721
0.500 0.216 0.779
0.000 0.384 0.770
0.500 0.884 0.730
0.500 0.116 0.270
0.000 0.616 0.230
0.500 0.500 0.500
0.000 0.000 0.000
```

## Properties
V (Å³ per cell): 92
ΔH_f (0 K) (meV/atom): -146.2

[13]
DFT (PBEsol) results for a relaxed ScRh2 crystal.

Cell and atoms, written as POSCAR:
```
ScRh2
1.0
3.846 0.000 0.000
0.000 3.846 0.000
-1.923 -1.923 12.260
Rh Sc
8 4
direct
0.582 0.582 0.164
0.000 0.500 0.000
0.668 0.168 0.336
0.418 0.418 0.836
0.500 0.000 0.000
0.750 0.750 0.500
0.250 0.250 0.500
0.832 0.332 0.664
0.174 0.674 0.348
0.924 0.924 0.848
0.076 0.076 0.152
0.326 0.826 0.652
```

## Properties
V (Å³ per cell): 181
ΔH_f (0 K) (meV/atom): -657.6

[14]
DFT (PBEsol) results for a relaxed Ca3FeP crystal.

Cell and atoms, written as POSCAR:
```
Ca3FeP
1.0
-3.721 3.729 -1.183
-1.878 -0.271 5.055
3.432 3.895 1.484
Ca Fe P
3 1 1
direct
0.000 0.500 0.000
0.500 0.000 0.000
0.000 0.000 0.500
0.500 0.500 0.500
0.000 0.000 0.000
```

## Properties
V (Å³ per cell): 157
ΔH_f (0 K) (meV/atom): 117.0

[15]
DFT (PBEsol) results for a relaxed ScAsRh crystal.

Cell and atoms, written as POSCAR:
```
ScAsRh
1.0
3.082 0.000 0.000
0.000 3.082 0.000
-1.541 -1.541 5.100
As Sc Rh
1 1 1
direct
0.015 0.015 0.030
0.332 0.332 0.664
0.653 0.653 0.306
```

## Properties
V (Å³ per cell): 48
ΔH_f (0 K) (meV/atom): -676.8

[16]
DFT (PBEsol) results for a relaxed Tl2PW crystal.

Cell and atoms, written as POSCAR:
```
Tl2PW
1.0
3.098 0.000 0.000
0.000 4.973 0.082
-1.549 -2.116 5.343
Tl W P
2 1 1
direct
0.782 0.305 0.565
0.987 0.971 0.973
0.536 0.508 0.072
0.195 0.716 0.391
```

## Properties
V (Å³ per cell): 83
Energy above the most stable polymorph in this dataset (eV/atom): 0.3000
ΔH_f (0 K) (meV/atom): 489.8

[17]
DFT (PBEsol) results for a relaxed ReC2 crystal.

Cell and atoms, written as POSCAR:
```
ReC2
1.0
3.163 0.000 0.000
-1.582 2.739 0.000
0.000 0.000 9.454
C Re
4 2
direct
0.667 0.333 0.344
0.333 0.667 0.844
0.333 0.667 0.656
0.667 0.333 0.156
0.000 0.000 0.750
0.000 0.000 0.250
```

## Properties
V (Å³ per cell): 82
Energy above the most stable polymorph in this dataset (eV/atom): 0.8009
ΔH_f (0 K) (meV/atom): 1434.0

[18]
DFT (PBEsol) results for a relaxed LiCu2Ni crystal.

Cell and atoms, written as POSCAR:
```
LiCu2Ni
1.0
-0.087 1.635 1.879
-2.185 0.962 0.714
-1.753 -5.421 6.287
Ni Cu Li
1 2 1
direct
0.500 0.500 0.500
0.752 0.752 0.743
0.248 0.248 0.257
0.000 0.000 0.000
```

## Properties
V (Å³ per cell): 45
Energy above the most stable polymorph in this dataset (eV/atom): 0.0302
ΔH_f (0 K) (meV/atom): 11.4

[19]
DFT (PBEsol) results for a relaxed SrMnIr2 crystal.

Cell and atoms, written as POSCAR:
```
SrMnIr2
1.0
-1.083 -2.281 1.237
-1.627 -0.983 -3.237
5.620 -3.606 -1.731
Ir Sr Mn
2 1 1
direct
0.000 0.000 0.059
0.500 0.500 0.263
0.500 0.500 0.763
0.000 0.000 0.415
```

## Properties
V (Å³ per cell): 73
Energy above the most stable polymorph in this dataset (eV/atom): 0.0000
ΔH_f (0 K) (meV/atom): 351.1

[20]
DFT (PBEsol) results for a relaxed MnH3S crystal.

Cell and atoms, written as POSCAR:
```
MnH3S
1.0
-2.171 0.820 2.471
1.553 -2.175 2.086
2.090 2.467 1.017
H S Mn
3 1 1
direct
0.000 0.500 0.000
0.500 0.000 0.000
0.000 0.000 0.500
0.500 0.500 0.500
0.000 0.000 0.000
```

## Properties
V (Å³ per cell): 39

[21]
DFT (PBEsol) results for a relaxed Tl2HgSb crystal.

Cell and atoms, written as POSCAR:
```
Tl2HgSb
1.0
-3.597 1.724 3.374
3.487 -3.807 1.619
3.779 1.307 3.361
Hg Tl Sb
1 2 1
direct
0.500 0.000 0.500
0.250 0.500 0.250
0.000 0.000 0.000
0.750 0.500 0.750
```

## Properties
Formation energy without anion corrections (eV per atom): 0.0183
V (Å³ per cell): 108
Energy above the most stable polymorph in this dataset (eV/atom): 0.0225

[22]
DFT (PBEsol) results for a relaxed MnMoIr2 crystal.

Cell and atoms, written as POSCAR:
```
MnMoIr2
1.0
3.804 0.000 0.000
0.000 3.804 0.000
-1.902 -1.902 3.757
Ir Mo Mn
2 1 1
direct
0.750 0.250 0.500
0.250 0.750 0.500
0.000 0.000 0.000
0.500 0.500 0.000
```

## Properties
V (Å³ per cell): 54
Energy above the most stable polymorph in this dataset (eV/atom): 0.0140
ΔH_f (0 K) (meV/atom): -222.2

[23]
DFT (PBEsol) results for a relaxed BaZnGe2Bi crystal.

Cell and atoms, written as POSCAR:
```
BaZnGe2Bi
1.0
-4.855 -1.939 -1.015
1.167 -4.467 2.950
-1.925 2.467 4.497
Bi Ba Zn Ge
1 1 1 2
direct
0.000 0.000 0.000
0.500 0.500 0.500
0.500 0.000 0.000
0.000 0.000 0.500
0.000 0.500 0.000
```

## Properties
V (Å³ per cell): 160
ΔH_f (0 K) (meV/atom): 338.0

[24]
DFT (PBEsol) results for a relaxed BiPS2Cl crystal.

Cell and atoms, written as POSCAR:
```
BiPS2Cl
1.0
-0.937 2.776 3.803
-3.321 -2.877 1.282
3.021 -2.381 2.482
Bi S Cl P
1 2 1 1
direct
0.500 0.500 0.500
0.000 0.000 0.500
0.000 0.500 0.000
0.000 0.000 0.000
0.500 0.000 0.000
```

## Properties
Formation energy without anion corrections (eV per atom): 0.7581
V (Å³ per cell): 101

[25]
DFT (PBEsol) results for a relaxed BaCoNF2 crystal.

Cell and atoms, written as POSCAR:
```
BaCoNF2
1.0
4.825 0.000 0.000
0.000 4.825 0.000
0.000 0.000 5.428
F Ba N Co
2 1 1 1
direct
0.000 0.500 0.000
0.500 0.000 0.000
0.000 0.000 0.000
0.000 0.000 0.500
0.500 0.500 0.500
```

## Properties
Formation energy without anion corrections (eV per atom): -0.0522
V (Å³ per cell): 126

[26]
DFT (PBEsol) results for a relaxed BaHPt2 crystal.

Cell and atoms, written as POSCAR:
```
BaHPt2
1.0
-1.285 4.254 -1.731
-4.175 1.926 1.264
-0.098 3.810 2.866
Pt Ba H
2 1 1
direct
0.250 0.250 0.250
0.750 0.750 0.750
0.500 0.500 0.500
0.000 0.000 0.000
```

## Properties
V (Å³ per cell): 77
Energy above the most stable polymorph in this dataset (eV/atom): 1.2565

[27]
DFT (PBEsol) results for a relaxed Al2CuNi2 crystal.

Cell and atoms, written as POSCAR:
```
Al2CuNi2
1.0
3.957 0.000 0.000
-1.978 3.427 0.000
0.000 0.000 4.821
Al Cu Ni
2 1 2
direct
0.667 0.333 0.660
0.333 0.667 0.340
0.000 0.000 0.000
0.333 0.667 0.842
0.667 0.333 0.158
```

## Properties
V (Å³ per cell): 65
Energy above the most stable polymorph in this dataset (eV/atom): 0.1137
ΔH_f (0 K) (meV/atom): -330.6

no.,raw total energy (eV per atom)
1,-3.414
2,-4.421
3,-7.042
4,-3.848
5,-5.945
6,-2.850
7,-6.766
8,-7.502
9,-3.265
10,-5.001
11,-9.289
12,-7.154
13,-8.285
14,-4.114
15,-7.293
16,-5.725
17,-9.439
18,-4.187
19,-7.461
20,-4.233
21,-2.578
22,-10.516
23,-3.241
24,-3.413
25,-4.506
26,-4.060
27,-5.297